CoS2NF, optimized geometry, DFT GGA+U; final energy = -3.88 eV per atom; energy relative to the lowest polymorph listed for this composition = 0.0 meV/atom; DOS at the Fermi energy = 4.51 states/eV per cell; ρ = 3.63 Mg/m³
1.0
4.638 0.000 0.000
0.000 4.638 0.000
0.000 0.000 3.317
Co S N F
1 2 1 1
direct
0.000 0.000 0.000
0.000 0.500 0.000
0.500 0.000 0.000
0.000 0.000 0.500
0.500 0.500 0.500